1.
{"formula": "PIrPdCl2", "functional": "GGA-PBE", "state": "relaxed", "lattice_angstrom": [[4.946, 0.000, 0.000], [0.000, 4.946, 0.000], [0.000, 0.000, 4.452]], "species": ["P", "Ir", "Pd", "Cl", "Cl"], "fractional_positions": [[0.000, 0.000, 0.500], [0.000, 0.000, 0.000], [0.500, 0.500, 0.500], [0.000, 0.500, 0.000], [0.500, 0.000, 0.000]], "de_polymorph_mev_per_atom": 0, "n_ef_per_ev_cell": 6.82, "energy_ev_per_atom": -4.10, "mass_density_g_cm3": 6.107, "e_form_raw_ev_per_atom": 0.528}

=====

2.
{"formula": "P2IrPdCl", "functional": "GGA-PBE", "state": "relaxed", "lattice_angstrom": [[-1.238, -1.923, -4.000], [2.200, -3.873, 1.181], [-3.895, -1.609, 1.979]], "species": ["P", "P", "Ir", "Pd", "Cl"], "fractional_positions": [[0.000, 0.500, 0.000], [0.500, 0.000, 0.000], [0.500, 0.500, 0.500], [0.000, 0.000, 0.000], [0.000, 0.000, 0.500]], "de_polymorph_mev_per_atom": 575, "n_ef_per_ev_cell": 4.05, "energy_ev_per_atom": -4.12, "mass_density_g_cm3": 6.651, "e_form_raw_ev_per_atom": 1.223}

=====

3.
{"formula": "Pm6PIr2Cl3", "functional": "GGA-PBE", "state": "relaxed", "lattice_angstrom": [[-6.631, -0.394, 2.722], [2.459, -5.250, -4.235], [3.990, -1.652, 6.366]], "species": ["Pm", "Pm", "Pm", "Pm", "Pm", "Pm", "P", "Ir", "Ir", "Cl", "Cl", "Cl"], "fractional_positions": [[0.932, 0.589, 0.794], [0.725, 0.725, 0.206], [0.068, 0.411, 0.206], [0.589, 0.932, 0.794], [0.275, 0.275, 0.794], [0.411, 0.068, 0.206], [0.000, 0.000, 0.000], [0.333, 0.667, 0.000], [0.667, 0.333, 0.000], [0.160, 0.840, 0.500], [0.840, 0.160, 0.500], [0.500, 0.500, 0.500]], "n_ef_per_ev_cell": 2.34, "energy_ev_per_atom": -6.07, "mass_density_g_cm3": 7.072, "e_form_raw_ev_per_atom": -1.302}

=====

4.
{"formula": "Pm8PIr3Cl4", "functional": "GGA-PBE", "state": "relaxed", "lattice_angstrom": [[8.292, 0.000, 0.000], [0.000, 8.757, 0.323], [-4.146, -4.143, 5.865]], "species": ["Pm", "Pm", "Pm", "Pm", "Pm", "Pm", "Pm", "Pm", "P", "Ir", "Ir", "Ir", "Cl", "Cl", "Cl", "Cl"], "fractional_positions": [[0.240, 0.706, 0.966], [0.240, 0.706, 0.480], [0.265, 0.295, 0.530], [0.726, 0.706, 0.966], [0.274, 0.294, 0.034], [0.735, 0.705, 0.470], [0.760, 0.294, 0.520], [0.760, 0.294, 0.034], [0.000, 0.500, 0.000], [0.500, 0.500, 0.000], [0.500, 0.500, 0.500], [0.000, 0.500, 0.500], [0.500, 0.000, 0.000], [0.500, 0.000, 0.500], [0.000, 0.000, 0.000], [0.000, 0.000, 0.500]], "n_ef_per_ev_cell": 9.47, "energy_ev_per_atom": -6.09, "mass_density_g_cm3": 7.256, "e_form_raw_ev_per_atom": -1.256}